A relaxed Sm2FeF8 crystal, computed with PBE+U.

Results
Total moment (μB/atom): 0.364
DOS(E_F) (states/eV/cell): 0.0
Final energy (eV/atom): -6.33

Unit cell a=7.7096 b=7.7096 c=5.4193 alpha=109.67 beta=109.67 gamma=27.74
Closest atoms and distances in Å follow each position.
Fractional coordinates of all 11 atoms:
Sm1 0.1722 0.1722 0.1807  9 F 2.30-2.43
Sm2 0.8278 0.8278 0.8193  9 F 2.30-2.43
Fe1 0.5000 0.5000 0.5000  6 F 2.19-2.23
F1 0.0417 0.0417 0.3361  2 Fe 2.23, 1 Sm 2.38
F2 0.2229 0.2229 0.8258  3 Sm 2.30-2.43, 3 F 2.50-2.56
F3 0.3227 0.3227 0.5390  3 Sm 2.38-2.41, 5 F 2.50-2.65
F4 0.4092 0.4092 0.0849  1 Fe 2.19, 2 Sm 2.40
F5 0.5908 0.5908 0.9151  1 Fe 2.19, 2 Sm 2.40
F6 0.6773 0.6773 0.4610  3 Sm 2.38-2.41, 5 F 2.50-2.65
F7 0.7771 0.7771 0.1742  3 Sm 2.30-2.43, 3 F 2.50-2.56
F8 0.9583 0.9583 0.6639  2 Fe 2.23, 1 Sm 2.38